# PBE Mg2IrW, optimized geometry
data_Mg2IrW
_cell_length_a 7.401
_cell_length_b 7.401
_cell_length_c 5.851
_cell_angle_alpha 50.77
_cell_angle_beta 50.77
_cell_angle_gamma 90.00
_space_group_name_H-M_alt 'P 1'
_space_group_IT_number 1
loop_
_space_group_symop_operation_xyz
'x,y,z'
loop_
_atom_site_label
_atom_site_type_symbol
_atom_site_fract_x
_atom_site_fract_y
_atom_site_fract_z
Mg1 Mg 0.651 0.125 0.250
Mg2 Mg 0.099 0.625 0.250
Mg3 Mg 0.375 0.349 0.750
Mg4 Mg 0.875 0.901 0.750
Ir1 Ir 0.000 0.000 0.000
Ir2 Ir 0.750 0.250 0.500
W1 W 0.500 0.500 0.000
W2 W 0.250 0.750 0.500
# * ΔH_f (0 K): 16.45 kcal/mol of atoms